{"formula": "MnCrOs2", "functional": "GGA-PBEsol", "state": "relaxed", "lattice": [[3.6844, 0.0000, 0.0000], [0.0000, 3.6844, 0.0000], [-1.8422, -1.8422, 3.7315]], "species": ["Mn", "Os", "Os", "Cr"], "frac_coords": [[0.2500, 0.7500, 0.5000], [0.0000, 0.0000, 0.0000], [0.7500, 0.2500, 0.5000], [0.5000, 0.5000, 0.0000]], "crystal_system": "tetragonal", "formation_energy_ev_per_atom": 0.09, "energy_ev_per_atom": -11.02, "m_tot_mub_per_cell": 0.78, "n_ef_per_ev_cell": 4.06, "rho_g_cm3": 15.98}

=====

{"formula": "NdSm3", "functional": "GGA-PBEsol", "state": "relaxed", "lattice": [[5.0323, 0.0000, 0.0000], [0.0000, 5.0323, 0.0000], [0.0000, 0.0000, 5.0323]], "species": ["Nd", "Sm", "Sm", "Sm"], "frac_coords": [[0.0000, 0.0000, 0.0000], [0.0000, 0.5000, 0.5000], [0.5000, 0.5000, 0.0000], [0.5000, 0.0000, 0.5000]], "crystal_system": "cubic", "formation_energy_ev_per_atom": 0.01, "energy_ev_per_atom": -5.11, "de_polymorph_mev_per_atom": 0, "m_tot_mub_per_cell": 0.00, "n_ef_per_ev_cell": 5.77, "rho_g_cm3": 7.76}

=====

{"formula": "CaLaHg2N", "functional": "GGA-PBEsol", "state": "relaxed", "lattice": [[5.2795, 0.0000, 0.0000], [0.0000, 5.2795, 0.0000], [0.0000, 0.0000, 6.4127]], "species": ["Hg", "Hg", "Ca", "N", "La"], "frac_coords": [[0.0000, 0.5000, 0.0000], [0.5000, 0.0000, 0.0000], [0.0000, 0.0000, 0.0000], [0.5000, 0.5000, 0.5000], [0.0000, 0.0000, 0.5000]], "crystal_system": "tetragonal", "energy_ev_per_atom": -1.95, "m_tot_mub_per_cell": 1.20, "n_ef_per_ev_cell": 5.19, "raw_formation_energy_mev_per_atom": 1473, "rho_g_cm3": 5.52}

=====

Which formula does entry 1 have? MnCrOs2